# 1
First-principles (GGA-PBE) data for an optimized crystal structure of MgGaCu6, as listed in the Alexandria database.

```
data_MgGaCu6
_cell_length_a 7.4560
_cell_length_b 10.5909
_cell_length_c 10.5373
_cell_angle_alpha 90.00
_cell_angle_beta 90.00
_cell_angle_gamma 90.00
_symmetry_space_group_name_H-M 'C m m m'
_symmetry_Int_Tables_number 65
_symmetry_space_group_name_Hall '-C 2 2'
loop_
_atom_site_label
_atom_site_fract_x
_atom_site_fract_y
_atom_site_fract_z
Mg1 0.0000 0.0000 0.2500
Mg2 0.0000 0.2452 0.0000
Ga1 0.0000 0.2426 0.5000
Ga2 0.0000 0.5000 0.2498
Cu1 0.0000 0.0000 0.0000
Cu2 0.0000 0.0000 0.5000
Cu3 0.0000 0.2512 0.2542
Cu4 0.0000 0.5000 0.0000
Cu5 0.0000 0.5000 0.5000
Cu6 0.2449 0.3743 0.3769
Cu7 0.2448 0.3757 0.1271
```

Properties
- total magnetic moment (μB per cell) = 0.00
- energy above the most stable polymorph in this dataset (eV/atom) = 0.000
- crystal system = orthorhombic


# 2
First-principles (GGA-PBE) data for an optimized crystal structure of MgGaCu2, as listed in the Alexandria database.

```
data_MgGaCu2
_cell_length_a 5.0654
_cell_length_b 6.2274
_cell_length_c 9.2966
_cell_angle_alpha 90.00
_cell_angle_beta 90.00
_cell_angle_gamma 90.00
_symmetry_space_group_name_H-M 'P m m a'
_symmetry_Int_Tables_number 51
loop_
_symmetry_equiv_pos_as_xyz
'x,y,z'
'-x,-y,-z'
'-x+1/2,-y,z'
'x+1/2,y,-z'
'x+1/2,-y,-z'
'-x+1/2,y,z'
'-x,y,-z'
'x,-y,z'
loop_
_atom_site_label
_atom_site_fract_x
_atom_site_fract_y
_atom_site_fract_z
Mg1 0.2500 0.0000 0.0898
Mg2 0.2500 0.5000 0.2998
Ga1 0.2500 0.0000 0.7561
Ga2 0.2500 0.5000 0.7919
Cu1 0.0000 0.0000 0.5000
Cu2 0.0000 0.5000 0.0000
Cu3 0.2500 0.3108 0.5665
```

Properties
- total magnetic moment (μB per cell) = 0.00
- raw total energy (eV for the cell shown) = -49.2
- crystal system = orthorhombic


# 3
First-principles (GGA-PBE) data for an optimized crystal structure of Mg3Ga12Cu, as listed in the Alexandria database.

```
data_Mg3Ga12Cu
_cell_length_a 4.2328
_cell_length_b 4.2328
_cell_length_c 16.2269
_cell_angle_alpha 90.00
_cell_angle_beta 90.00
_cell_angle_gamma 90.00
_symmetry_space_group_name_H-M 'P 4/m m m'
_symmetry_Int_Tables_number 123
_symmetry_space_group_name_Hall '-P 4 2'
loop_
_atom_site_label
_atom_site_fract_x
_atom_site_fract_y
_atom_site_fract_z
Mg1 0.0000 0.0000 0.0000
Mg2 0.0000 0.0000 0.2567
Ga1 0.0000 0.5000 0.1277
Ga2 0.0000 0.5000 0.3875
Ga3 0.5000 0.5000 0.0000
Ga4 0.5000 0.5000 0.2555
Ga5 0.5000 0.5000 0.5000
Cu1 0.0000 0.0000 0.5000
```

Properties
- total magnetic moment (μB per cell) = 0.00
- raw total energy (eV for the cell shown) = -46.1
- crystal system = tetragonal